[1]
A relaxed Pu2Cd2Bi crystal. Source: the Alexandria database, functional PBE-GGA.

a = 4.2057 Å, b = 4.2057 Å, c = 8.7517 Å
α = 103.90°, β = 103.90°, γ = 90.00°
Positions (direct):
Bi1 0.0000 0.0000 0.0000
Pu1 0.5913 0.5913 0.1825
Pu2 0.4087 0.4087 0.8175
Cd1 0.2500 0.7500 0.5000
Cd2 0.7500 0.2500 0.5000

Properties
ΔE_f (meV per atom): -14
Electronic total energy (eV per atom): -6.889
ρ (kg/m3): 10514

[2]
A relaxed Pu2CdBi4 crystal. Source: the Alexandria database, functional PBE-GGA.

a = 4.5894 Å, b = 4.5894 Å, c = 10.1961 Å
α = 90.00°, β = 90.00°, γ = 90.00°
Positions (direct):
Bi1 0.5000 0.0000 0.1886
Bi2 0.0000 0.0000 0.5000
Bi3 0.0000 0.5000 0.8114
Bi4 0.5000 0.5000 0.5000
Pu1 0.5000 0.0000 0.7491
Pu2 0.0000 0.5000 0.2509
Cd1 0.5000 0.5000 0.0000

Properties
ΔE_f (meV per atom): -216
Electronic total energy (eV per atom): -6.659
ρ (kg/m3): 11106